1.
A geometry-optimized NaSr3Li2 structure. Source: Alexandria via LeMat-Bulk, functional PBE-GGA.

SG: P4/mmm, No. 123
Energy (eV per atom): -1.6716
Formation enthalpy at 0 K (meV/atom): 27

```
6
Lattice="4.300 0.000 0.000 0.000 4.300 0.000 0.000 0.000 13.129" Properties=species:S:1:pos:R:3 pbc="T T T"
Sr 0.000 0.000 9.004
Sr 0.000 0.000 0.000
Sr 0.000 0.000 4.125
Li 2.150 2.150 2.061
Li 2.150 2.150 11.068
Na 2.150 2.150 6.564
```

=====

2.
A geometry-optimized NaSr4Li4 structure. Source: Alexandria via LeMat-Bulk, functional PBE-GGA.

SG: Fmm2, No. 42
Energy (eV per atom): -1.6496
Formation enthalpy at 0 K (meV/atom): 95

```
9
Lattice="-1.250 -6.019 0.650 8.889 0.810 -4.735 4.457 -0.478 4.257" Properties=species:S:1:pos:R:3 pbc="T T T"
Li 8.787 -3.259 -2.253
Li 10.908 -1.199 -0.912
Li 1.653 -2.250 0.841
Li 2.846 -4.668 2.667
Sr 7.611 -0.094 -1.324
Sr 5.130 -2.484 1.162
Sr 2.182 -5.347 -0.702
Sr 9.267 -3.450 1.210
Na 7.639 -5.209 -4.084
```

=====

3.
A geometry-optimized Na2SrLi structure. Source: Alexandria via LeMat-Bulk, functional PBE-GGA.

SG: P4/mmm, No. 123
Polymorph energy (0 for the lowest one) (eV/atom): 0.0241
Energy (eV per atom): -1.4956
Formation enthalpy at 0 K (meV/atom): 63

```
4
Lattice="-1.135 -0.109 -3.853 -1.780 -3.548 0.625 -7.875 4.337 2.196" Properties=species:S:1:pos:R:3 pbc="T T T"
Sr -5.395 0.340 -0.516
Li -1.457 -1.828 -1.614
Na -1.586 0.874 0.442
Na -6.289 3.464 1.754
```

=====

4.
A geometry-optimized NaSr5Li4 structure. Source: Alexandria via LeMat-Bulk, functional PBE-GGA.

SG: P4/mmm, No. 123
Energy (eV per atom): -1.7119
Formation enthalpy at 0 K (meV/atom): 26

```
10
Lattice="4.283 0.000 0.000 0.000 4.283 0.000 0.000 0.000 21.544" Properties=species:S:1:pos:R:3 pbc="T T T"
Na 0.000 0.000 0.000
Li 0.000 0.000 8.670
Li 0.000 0.000 4.509
Li 0.000 0.000 12.874
Li 0.000 0.000 17.035
Sr 2.142 2.142 6.590
Sr 2.142 2.142 19.095
Sr 2.142 2.142 10.772
Sr 2.142 2.142 14.954
Sr 2.142 2.142 2.449
```

=====

5.
A geometry-optimized NaSr4Li structure. Source: Alexandria via LeMat-Bulk, functional PBE-GGA.

SG: Cmmm, No. 65
Polymorph energy (0 for the lowest one) (eV/atom): 0.2239
Energy (eV per atom): -1.4213
Formation enthalpy at 0 K (meV/atom): 239

```
6
Lattice="-1.261 -0.992 -3.948 -1.974 -8.015 2.644 -7.972 2.870 1.826" Properties=species:S:1:pos:R:3 pbc="T T T"
Sr -7.832 -4.052 3.520
Sr -3.375 -2.085 -2.998
Sr -7.037 -0.469 0.066
Sr -4.171 -5.668 0.456
Na -4.973 -2.573 2.235
Li -0.631 -0.496 -1.974
```

=====

6.
A geometry-optimized NaSr2Li structure. Source: Alexandria via LeMat-Bulk, functional PBE-GGA.

SG: P4/mmm, No. 123
Polymorph energy (0 for the lowest one) (eV/atom): 0.0000
Energy (eV per atom): -1.6247
Formation enthalpy at 0 K (meV/atom): 24

```
4
Lattice="4.314 0.000 0.000 0.000 4.314 0.000 0.000 0.000 8.984" Properties=species:S:1:pos:R:3 pbc="T T T"
Li 2.157 2.157 0.000
Sr 0.000 0.000 6.927
Sr 0.000 0.000 2.057
Na 2.157 2.157 4.492
```

=====

7.
A geometry-optimized NaSr2Li structure. Source: Alexandria via LeMat-Bulk, functional PBE-GGA.

SG: I-42d, No. 122
Polymorph energy (0 for the lowest one) (eV/atom): 0.1785
Energy (eV per atom): -1.4462
Formation enthalpy at 0 K (meV/atom): 203

```
8
Lattice="-2.552 9.035 -1.560 -5.333 -2.780 -7.376 -6.990 2.676 -2.094" Properties=species:S:1:pos:R:3 pbc="T T T"
Sr -12.032 7.537 -9.239
Sr -5.452 0.246 -5.361
Sr -8.309 4.295 -5.073
Sr -3.957 5.783 -2.389
Na 0.000 0.000 0.000
Na -6.742 7.419 -4.061
Li -3.942 3.127 -4.468
Li -8.133 1.512 -6.969
```

=====

8.
A geometry-optimized NaSrLi4 structure. Source: Alexandria via LeMat-Bulk, functional PBE-GGA.

SG: F-43m, No. 216
Energy (eV per atom): -1.7419
Formation enthalpy at 0 K (meV/atom): 34

```
6
Lattice="6.263 0.000 0.000 3.131 5.424 0.000 3.131 1.808 5.114" Properties=species:S:1:pos:R:3 pbc="T T T"
Li 6.263 3.616 0.627
Li 4.687 4.526 3.200
Li 7.839 4.526 3.200
Li 6.263 1.796 3.200
Na 0.000 0.000 0.000
Sr 3.131 1.808 1.278
```

=====

9.
A geometry-optimized NaSr2LiTa structure. Source: Alexandria via LeMat-Bulk, functional PBE-GGA.

SG: P4/mmm, No. 123
Energy (eV per atom): -2.6638
Formation enthalpy at 0 K (meV/atom): 1026

```
5
Lattice="6.394 0.000 0.000 0.000 5.428 0.000 0.000 0.000 6.394" Properties=species:S:1:pos:R:3 pbc="T T T"
Sr 3.197 0.000 0.000
Sr 0.000 0.000 3.197
Ta 0.000 0.000 0.000
Li 0.000 2.714 0.000
Na 3.197 2.714 3.197
```

=====

10.
A geometry-optimized NaSrLiTl2 structure. Source: Alexandria via LeMat-Bulk, functional PBE-GGA.

SG: P4/mmm, No. 123
Energy (eV per atom): -2.0576
Formation enthalpy at 0 K (meV/atom): -128

```
5
Lattice="5.292 0.000 0.000 0.000 5.292 0.000 0.000 0.000 5.205" Properties=species:S:1:pos:R:3 pbc="T T T"
Tl 2.646 0.000 0.000
Tl 0.000 2.646 0.000
Sr 2.646 2.646 2.602
Li 0.000 0.000 0.000
Na 0.000 0.000 2.602
```

=====

11.
A geometry-optimized NaSr2Li2Tl5 structure. Source: Alexandria via LeMat-Bulk, functional PBE-GGA.

SG: P4/mbm, No. 127
Energy (eV per atom): -2.3000
Formation enthalpy at 0 K (meV/atom): -266

```
20
Lattice="-3.141 -0.995 -2.235 -5.636 -3.794 9.610 -4.531 10.746 1.585" Properties=species:S:1:pos:R:3 pbc="T T T"
Tl -3.836 4.876 -0.325
Tl -5.506 7.781 0.729
Tl -10.287 6.583 7.982
Tl -7.802 -1.824 8.232
Tl -4.388 -2.394 3.688
Tl -3.021 -0.626 0.978
Tl -7.943 4.980 5.401
Tl -5.761 4.428 2.579
Tl -7.547 1.529 6.381
Tl -5.365 0.977 3.560
Li -7.481 7.118 7.345
Li -2.686 -0.166 3.850
Li -6.691 0.751 9.070
Li -3.476 6.201 2.125
Na 0.000 0.000 0.000
Na -5.084 3.476 5.598
Sr -2.464 2.765 2.232
Sr -5.525 7.602 4.382
Sr -4.642 -0.650 6.813
Sr -7.703 4.187 8.963
```

=====

12.
A geometry-optimized Na2Sr3Li2Tl4 structure. Source: Alexandria via LeMat-Bulk, functional PBE-GGA.

SG: P-3m1, No. 164
Energy (eV per atom): -2.0953
Formation enthalpy at 0 K (meV/atom): -188

```
11
Lattice="-1.105 -1.908 -5.133 4.795 -1.370 2.517 -5.534 -10.211 4.987" Properties=species:S:1:pos:R:3 pbc="T T T"
Tl -1.862 -10.204 4.194
Tl -2.975 -8.808 0.875
Tl 0.019 -3.285 -1.823
Tl 1.132 -4.680 1.497
Sr 0.000 0.000 0.000
Sr -1.671 -3.082 1.505
Sr -3.863 -7.128 3.481
Li 2.343 -2.445 0.405
Li -4.187 -11.044 1.967
Na -1.562 -6.201 -0.398
Na -0.281 -7.287 2.770
```

=====

For each record above, in turn, the calculated total magnetization values are 0.00, 0.00, 0.00, 0.00, 0.00, 0.00, 0.00, 0.12, 4.51, 0.00, 0.00, 0.00 μB/f.u..